i | This record from Alexandria via LeMat-Bulk describes HoAlHg after structural relaxation. The functional is PBE.

```
data_HoAlHg
_chemical_formula_sum 'Ho1 Al1 Hg1'
_cell_length_a 3.435
_cell_length_b 3.435
_cell_length_c 6.225
_cell_angle_alpha 106.02
_cell_angle_beta 106.02
_cell_angle_gamma 90.00
_symmetry_space_group_name_H-M 'P 1'
_symmetry_Int_Tables_number 1
_symmetry_space_group_name_Hall 'P 1'
loop_
_atom_site_label
_atom_site_type_symbol
_atom_site_fract_x
_atom_site_fract_y
_atom_site_fract_z
Al1 Al 0.627 0.627 0.254
Ho1 Ho 0.954 0.954 0.907
Hg1 Hg 0.270 0.270 0.539
```

---

ii | This record from Alexandria via LeMat-Bulk describes HoAlHg after structural relaxation. The functional is PBE.

```
data_HoAlHg
_chemical_formula_sum 'Ho1 Al1 Hg1'
_cell_length_a 4.728
_cell_length_b 4.728
_cell_length_c 4.728
_cell_angle_alpha 60.00
_cell_angle_beta 60.00
_cell_angle_gamma 60.00
_symmetry_space_group_name_H-M 'P 1'
_symmetry_Int_Tables_number 1
_symmetry_space_group_name_Hall 'P 1'
loop_
_atom_site_label
_atom_site_type_symbol
_atom_site_fract_x
_atom_site_fract_y
_atom_site_fract_z
Al1 Al 0.000 0.000 0.000
Ho1 Ho 0.500 0.500 0.500
Hg1 Hg 0.250 0.250 0.250
```

---

ii is the most stable structure shown above.